# GeMo3F PBE with a Hubbard U optimized geometry
# - DFT total energy (eV/atom) = -4.489
data_GeMo3F
_cell_length_a 5.1726
_cell_length_b 5.1726
_cell_length_c 5.1726
_cell_angle_alpha 90.00
_cell_angle_beta 90.00
_cell_angle_gamma 90.00
_symmetry_space_group_name_H-M 'P 1'
_symmetry_Int_Tables_number 1
_symmetry_space_group_name_Hall 'P 1'
loop_
_atom_site_label
_atom_site_type_symbol
_atom_site_fract_x
_atom_site_fract_y
_atom_site_fract_z
Ge1 Ge 0.0000 0.0000 0.0000
Mo1 Mo 0.0000 0.0000 0.5000
Mo2 Mo 0.0000 0.5000 0.0000
Mo3 Mo 0.5000 0.0000 0.0000
F1 F 0.5000 0.5000 0.5000